Density functional theory data (GGA-PBE) for an optimized crystal structure of Nd7SeI12.

Results
Spin magnetization: 0.00 Bohr magnetons per cell
E_form (uncorrected): -27.70 eV/f.u.
Density: 5.4 g cm⁻³
Symmetry: R-3

Lattice parameters (Å, degrees): 9.9544 9.9544 9.9544 108.02 108.02 108.02
Positions (direct):
Nd 0.9620 0.6865 0.8913
Nd 0.3135 0.1087 0.0380
Nd 0.1087 0.0380 0.3135
Nd 0.5000 0.5000 0.5000
Nd 0.8913 0.9620 0.6865
Nd 0.6865 0.8913 0.9620
Nd 0.0380 0.3135 0.1087
Se 0.0000 0.0000 0.0000
I 0.9221 0.3125 0.7725
I 0.6875 0.2275 0.0779
I 0.4738 0.1527 0.3913
I 0.8473 0.6087 0.5262
I 0.2275 0.0779 0.6875
I 0.6087 0.5262 0.8473
I 0.3913 0.4738 0.1527
I 0.7725 0.9221 0.3125
I 0.1527 0.3913 0.4738
I 0.5262 0.8473 0.6087
I 0.3125 0.7725 0.9221
I 0.0779 0.6875 0.2275

=====

Density functional theory data (GGA-PBE) for an optimized crystal structure of NdSeI.

Results
Spin magnetization: 0.00 Bohr magnetons per cell
E_form (uncorrected): -4.91 eV/f.u.
Density: 4.8 g cm⁻³
Symmetry: P3m1

Lattice parameters (Å, degrees): 4.4231 4.4231 7.1859 90.00 90.00 120.00
Positions (direct):
I 0.0000 0.0000 0.0798
Nd 0.6667 0.3333 0.3688
Se 0.3333 0.6667 0.5515

=====

- Which of these has the highest density?
  Nd7SeI12

=====

- Number 1 is which compound?
  Nd7SeI12